The following is a GGA-PBE calculation of YScSe3 after structural relaxation, from the Alexandria database.

abc: 4.557 4.557 16.345
angles: 90.00 90.00 120.00
Atoms (fractional coordinates):
Y1 0.333 0.667 0.250
Y2 0.667 0.333 0.750
Sc1 0.000 0.000 0.000
Sc2 0.000 0.000 0.500
Se1 0.000 0.000 0.250
Se2 0.000 0.000 0.750
Se3 0.333 0.667 0.073
Se4 0.333 0.667 0.427
Se5 0.667 0.333 0.573
Se6 0.667 0.333 0.927

Summary:
calculated total energy	-6.148	eV per atom
formation energy from raw total energies	-1.50	eV per atom
space-group type	No. 194
magnetization	0.000	μB/atom

***

The following is a GGA-PBE calculation of Pm5YHo12 after structural relaxation, from the Alexandria database.

abc: 10.683 10.683 6.167
angles: 106.61 106.61 59.99
Atoms (fractional coordinates):
Pm1 0.000 0.000 0.000
Pm2 0.167 0.167 0.500
Pm3 0.334 0.334 0.000
Pm4 0.666 0.666 0.000
Pm5 0.833 0.833 0.500
Y1 0.500 0.500 0.500
Ho1 0.001 0.665 0.000
Ho2 0.166 0.501 0.501
Ho3 0.168 0.832 0.500
Ho4 0.333 0.667 0.000
Ho5 0.335 0.999 0.000
Ho6 0.499 0.834 0.499
Ho7 0.501 0.166 0.501
Ho8 0.665 0.001 0.000
Ho9 0.667 0.333 0.000
Ho10 0.832 0.168 0.500
Ho11 0.834 0.499 0.499
Ho12 0.999 0.335 0.000

Summary:
calculated total energy	-4.712	eV per atom
space-group type	No. 12
formation energy from the elements	0.4	kcal/mol of atoms
magnetization	0.000	μB/atom

***

The following is a GGA-PBE calculation of Hf6BiTe after structural relaxation, from the Alexandria database.

abc: 5.638 5.638 5.638
angles: 86.90 86.90 86.90
Atoms (fractional coordinates):
Hf1 0.012 0.487 0.251
Hf2 0.251 0.012 0.487
Hf3 0.487 0.251 0.012
Hf4 0.513 0.749 0.988
Hf5 0.749 0.988 0.513
Hf6 0.988 0.513 0.749
Bi1 0.000 0.000 0.000
Te1 0.500 0.500 0.500

Summary:
calculated total energy	-8.439	eV per atom
formation energy from raw total energies	-0.10	eV per atom
space-group type	No. 148
magnetization	0.000	μB/atom

***

The following is a GGA-PBE calculation of La2Sb2Au after structural relaxation, from the Alexandria database.

abc: 8.387 8.387 4.480
angles: 90.00 90.00 90.00
Atoms (fractional coordinates):
La1 0.176 0.324 0.000
La2 0.324 0.824 0.000
La3 0.676 0.176 0.000
La4 0.824 0.676 0.000
Sb1 0.125 0.625 0.500
Sb2 0.375 0.125 0.500
Sb3 0.625 0.875 0.500
Sb4 0.875 0.375 0.500
Au1 0.000 0.000 0.000
Au2 0.500 0.500 0.000

Summary:
calculated total energy	-5.114	eV per atom
formation energy from raw total energies	-0.84	eV per atom
space-group type	No. 127
magnetization	0.000	μB/atom

***

The following is a GGA-PBE calculation of SrPdCl2 after structural relaxation, from the Alexandria database.

abc: 8.953 8.953 8.953
angles: 146.97 146.97 47.41
Atoms (fractional coordinates):
Sr1 0.000 0.000 0.000
Sr2 0.750 0.250 0.500
Pd1 0.250 0.750 0.500
Pd2 0.500 0.500 0.000
Cl1 0.166 0.625 0.041
Cl2 0.375 0.416 0.541
Cl3 0.584 0.125 0.959
Cl4 0.875 0.834 0.459

Summary:
calculated total energy	-3.878	eV per atom
formation energy from raw total energies	-1.24	eV per atom
space-group type	No. 122
magnetization	0.000	μB/atom

***

The following is a GGA-PBE calculation of FeS2IN after structural relaxation, from the Alexandria database.

abc: 4.797 4.797 3.494
angles: 90.00 90.00 90.00
Atoms (fractional coordinates):
Fe1 0.000 0.000 0.000
S1 0.000 0.500 0.000
S2 0.500 0.000 0.000
I1 0.500 0.500 0.500
N1 0.000 0.000 0.500

Summary:
calculated total energy	-4.734	eV per atom
formation energy from raw total energies	0.58	eV per atom
space-group type	No. 123
magnetization	0.000	μB/atom

***

The following is a GGA-PBE calculation of HoBHRu after structural relaxation, from the Alexandria database.

abc: 3.915 3.915 7.103
angles: 90.00 90.00 90.00
Atoms (fractional coordinates):
Ho1 0.250 0.250 0.181
Ho2 0.750 0.750 0.819
B1 0.250 0.250 0.616
B2 0.750 0.750 0.384
H1 0.250 0.750 0.000
H2 0.750 0.250 0.000
Ru1 0.250 0.750 0.500
Ru2 0.750 0.250 0.500

Summary:
calculated total energy	-6.516	eV per atom
space-group type	No. 129
magnetization	0.000	μB/atom

***

The following is a GGA-PBE calculation of BaCd after structural relaxation, from the Alexandria database.

abc: 5.539 5.539 5.539
angles: 60.00 60.00 60.00
Atoms (fractional coordinates):
Ba1 0.000 0.000 0.000
Cd1 0.250 0.250 0.250

Summary:
calculated total energy	-1.214	eV per atom
space-group type	No. 216
formation energy from the elements	4.7	kcal/mol of atoms
magnetization	0.000	μB/atom